# PBE-GGA Ca2CuHgAs, relaxed
data_Ca2CuHgAs
_chemical_formula_sum 'Ca2 Cu1 Hg1 As1'
_space_group_name_H-M_alt 'P 4/m m m'
_space_group_IT_number 123
_space_group_name_Hall '-P 4 2'
_cell_length_a 5.3981
_cell_length_b 5.3981
_cell_length_c 4.7765
_cell_angle_alpha 90.00
_cell_angle_beta 90.00
_cell_angle_gamma 90.00
loop_
_atom_site_label
_atom_site_fract_x
_atom_site_fract_y
_atom_site_fract_z
Ca1 0.0000 0.5000 0.0000
Cu1 0.0000 0.0000 0.0000
Hg1 0.0000 0.0000 0.5000
As1 0.5000 0.5000 0.5000
# * crystal system: tetragonal
# * distance to the lowest polymorph of the same formula: 0.00 eV per formula unit
# * size of the total moment: 0.000 μB per atom
# * ΔH_f (0 K): -0.17 eV/atom
# * volume: 27.84 A^3/atom
# * DOS at the Fermi energy: 0.263 states/eV/atom